No. 1
DFT (PBE) results for an optimized crystal structure of AlGa2Si.

Calculated values
Raw total energy = -3.568 eV/atom
Formation energy from raw total energies = 0.9 eV per formula unit
Excess energy over the best structure of this formula in the dataset = 67 meV per atom
Magnetic moment = 0.00 μB per atom

a = 4.613 Å, b = 4.613 Å, c = 4.613 Å
α = 60.00°, β = 60.00°, γ = 60.00°
Fractional coordinates of all 4 atoms:
Si: 0.500 0.500 0.500
Al: 0.000 0.000 0.000
Ga: 0.250 0.250 0.250
Ga: 0.750 0.750 0.750

No. 2
DFT (PBE) results for an optimized crystal structure of AlGaSi2.

Calculated values
Raw total energy = -4.081 eV/atom
Formation energy from raw total energies = 1.3 eV per formula unit
Excess energy over the best structure of this formula in the dataset = 0 meV per atom
Magnetic moment = 0.00 μB per atom

a = 5.108 Å, b = 5.108 Å, c = 7.628 Å
α = 70.44°, β = 70.44°, γ = 90.00°
Fractional coordinates of all 8 atoms:
Si: 0.629 0.125 0.250
Si: 0.121 0.625 0.250
Si: 0.375 0.371 0.750
Si: 0.875 0.879 0.750
Al: 0.500 0.500 0.000
Al: 0.250 0.750 0.500
Ga: 0.000 0.000 0.000
Ga: 0.750 0.250 0.500

No. 3
DFT (PBE) results for an optimized crystal structure of Al2GaSi.

Calculated values
Raw total energy = -3.796 eV/atom
Formation energy from raw total energies = 0.7 eV per formula unit
Excess energy over the best structure of this formula in the dataset = 65 meV per atom
Magnetic moment = 0.00 μB per atom

a = 7.314 Å, b = 7.314 Å, c = 5.855 Å
α = 51.35°, β = 51.35°, γ = 90.00°
Fractional coordinates of all 8 atoms:
Si: 0.500 0.500 0.000
Si: 0.250 0.750 0.500
Al: 0.592 0.125 0.250
Al: 0.158 0.625 0.250
Al: 0.375 0.408 0.750
Al: 0.875 0.842 0.750
Ga: 0.000 0.000 0.000
Ga: 0.750 0.250 0.500

No. 4
DFT (PBE) results for an optimized crystal structure of Al3GaSi.

Calculated values
Raw total energy = -3.376 eV/atom
Formation energy from raw total energies = 2.8 eV per formula unit
Excess energy over the best structure of this formula in the dataset = 0 meV per atom
Magnetic moment = 0.00 μB per atom

a = 4.806 Å, b = 4.806 Å, c = 4.806 Å
α = 90.00°, β = 90.00°, γ = 90.00°
Fractional coordinates of all 5 atoms:
Si: 0.000 0.000 0.000
Al: 0.000 0.500 0.000
Al: 0.000 0.000 0.500
Al: 0.500 0.000 0.000
Ga: 0.500 0.500 0.500

No. 5
DFT (PBE) results for an optimized crystal structure of Al2GaSi.

Calculated values
Raw total energy = -3.841 eV/atom
Formation energy from raw total energies = 0.6 eV per formula unit
Excess energy over the best structure of this formula in the dataset = 21 meV per atom
Magnetic moment = 0.00 μB per atom

a = 3.940 Å, b = 4.087 Å, c = 4.087 Å
α = 90.00°, β = 90.00°, γ = 90.00°
Fractional coordinates of all 4 atoms:
Si: 0.500 0.000 0.000
Al: 0.000 0.000 0.500
Al: 0.000 0.500 0.000
Ga: 0.500 0.500 0.500

No. 6
DFT (PBE) results for an optimized crystal structure of Al2GaSi.

Calculated values
Raw total energy = -3.861 eV/atom
Formation energy from raw total energies = 0.5 eV per formula unit
Excess energy over the best structure of this formula in the dataset = 0 meV per atom
Magnetic moment = 0.00 μB per atom

a = 4.025 Å, b = 4.025 Å, c = 5.817 Å
α = 69.76°, β = 69.76°, γ = 60.00°
Fractional coordinates of all 4 atoms:
Al: 0.078 0.078 0.766
Al: 0.257 0.257 0.229
Ga: 0.501 0.501 0.497
Si: 0.664 0.664 0.007

No. 7
DFT (PBE) results for an optimized crystal structure of Al2GaSi.

Calculated values
Raw total energy = -3.829 eV/atom
Formation energy from raw total energies = 0.6 eV per formula unit
Excess energy over the best structure of this formula in the dataset = 33 meV per atom
Magnetic moment = 0.00 μB per atom

a = 3.196 Å, b = 3.196 Å, c = 6.599 Å
α = 90.00°, β = 90.00°, γ = 90.00°
Fractional coordinates of all 4 atoms:
Si: 0.500 0.500 0.000
Al: 0.000 0.000 0.774
Al: 0.000 0.000 0.226
Ga: 0.500 0.500 0.500

No. 8
DFT (PBE) results for an optimized crystal structure of AlGa3Si.

Calculated values
Raw total energy = -3.154 eV/atom
Formation energy from raw total energies = 2.5 eV per formula unit
Excess energy over the best structure of this formula in the dataset = 0 meV per atom
Magnetic moment = 0.00 μB per atom

a = 4.830 Å, b = 4.830 Å, c = 4.830 Å
α = 90.00°, β = 90.00°, γ = 90.00°
Fractional coordinates of all 5 atoms:
Si: 0.000 0.000 0.000
Al: 0.500 0.500 0.500
Ga: 0.000 0.500 0.000
Ga: 0.000 0.000 0.500
Ga: 0.500 0.000 0.000

No. 9
DFT (PBE) results for an optimized crystal structure of AlGa2Si2.

Calculated values
Raw total energy = -3.800 eV/atom
Formation energy from raw total energies = 1.6 eV per formula unit
Excess energy over the best structure of this formula in the dataset = 45 meV per atom
Magnetic moment = 0.00 μB per atom

a = 7.606 Å, b = 7.606 Å, c = 2.981 Å
α = 90.00°, β = 90.00°, γ = 90.00°
Fractional coordinates of all 10 atoms:
Si: 0.152 0.652 0.500
Si: 0.652 0.848 0.500
Si: 0.848 0.348 0.500
Si: 0.348 0.152 0.500
Al: 0.000 0.000 0.000
Al: 0.500 0.500 0.000
Ga: 0.356 0.856 0.000
Ga: 0.856 0.644 0.000
Ga: 0.644 0.144 0.000
Ga: 0.144 0.356 0.000

No. 10
DFT (PBE) results for an optimized crystal structure of AlGa2Si.

Calculated values
Raw total energy = -3.635 eV/atom
Formation energy from raw total energies = 0.7 eV per formula unit
Excess energy over the best structure of this formula in the dataset = 0 meV per atom
Magnetic moment = 0.00 μB per atom

a = 4.038 Å, b = 4.038 Å, c = 5.865 Å
α = 69.87°, β = 69.87°, γ = 60.00°
Fractional coordinates of all 4 atoms:
Al: 0.502 0.502 0.495
Ga: 0.078 0.078 0.765
Ga: 0.256 0.256 0.233
Si: 0.664 0.664 0.007

No. 11
DFT (PBE) results for an optimized crystal structure of AlGaSi2.

Calculated values
Raw total energy = -4.070 eV/atom
Formation energy from raw total energies = 1.3 eV per formula unit
Excess energy over the best structure of this formula in the dataset = 11 meV per atom
Magnetic moment = 0.00 μB per atom

a = 4.526 Å, b = 4.526 Å, c = 4.526 Å
α = 60.00°, β = 60.00°, γ = 60.00°
Fractional coordinates of all 4 atoms:
Si: 0.250 0.250 0.250
Si: 0.750 0.750 0.750
Al: 0.000 0.000 0.000
Ga: 0.500 0.500 0.500

No. 12
DFT (PBE) results for an optimized crystal structure of Al2GaSi.

Calculated values
Raw total energy = -3.817 eV/atom
Formation energy from raw total energies = 0.7 eV per formula unit
Excess energy over the best structure of this formula in the dataset = 44 meV per atom
Magnetic moment = 0.00 μB per atom

a = 4.551 Å, b = 4.551 Å, c = 4.551 Å
α = 60.00°, β = 60.00°, γ = 60.00°
Fractional coordinates of all 4 atoms:
Si: 0.500 0.500 0.500
Al: 0.250 0.250 0.250
Al: 0.750 0.750 0.750
Ga: 0.000 0.000 0.000

No. 13
DFT (PBE) results for an optimized crystal structure of AlGa2Si.

Calculated values
Raw total energy = -3.444 eV/atom
Formation energy from raw total energies = 1.4 eV per formula unit
Excess energy over the best structure of this formula in the dataset = 191 meV per atom
Magnetic moment = 0.00 μB per atom

a = 6.120 Å, b = 6.120 Å, c = 6.683 Å
α = 62.75°, β = 62.75°, γ = 90.00°
Fractional coordinates of all 8 atoms:
Si: 0.000 0.000 0.000
Si: 0.750 0.250 0.500
Al: 0.500 0.500 0.000
Al: 0.250 0.750 0.500
Ga: 0.650 0.125 0.250
Ga: 0.100 0.625 0.250
Ga: 0.375 0.350 0.750
Ga: 0.875 0.900 0.750

No. 14
DFT (PBE) results for an optimized crystal structure of AlGa2Si.

Calculated values
Raw total energy = -3.605 eV/atom
Formation energy from raw total energies = 0.8 eV per formula unit
Excess energy over the best structure of this formula in the dataset = 30 meV per atom
Magnetic moment = 0.00 μB per atom

a = 2.867 Å, b = 2.867 Å, c = 10.129 Å
α = 81.86°, β = 81.86°, γ = 60.00°
Fractional coordinates of all 4 atoms:
Si: 0.500 0.500 0.500
Al: 0.000 0.000 0.000
Ga: 0.091 0.091 0.728
Ga: 0.909 0.909 0.272

No. 15
DFT (PBE) results for an optimized crystal structure of AlGaSi3.

Calculated values
Raw total energy = -3.726 eV/atom
Formation energy from raw total energies = 4.4 eV per formula unit
Excess energy over the best structure of this formula in the dataset = 0 meV per atom
Magnetic moment = 0.00 μB per atom

a = 4.774 Å, b = 4.774 Å, c = 4.774 Å
α = 90.00°, β = 90.00°, γ = 90.00°
Fractional coordinates of all 5 atoms:
Si: 0.000 0.500 0.000
Si: 0.000 0.000 0.500
Si: 0.500 0.000 0.000
Al: 0.000 0.000 0.000
Ga: 0.500 0.500 0.500

No. 16
DFT (PBE) results for an optimized crystal structure of AlGa2Si2.

Calculated values
Raw total energy = -3.845 eV/atom
Formation energy from raw total energies = 1.4 eV per formula unit
Excess energy over the best structure of this formula in the dataset = 0 meV per atom
Magnetic moment = 0.00 μB per atom

a = 7.269 Å, b = 7.269 Å, c = 3.269 Å
α = 90.00°, β = 90.00°, γ = 90.00°
Fractional coordinates of all 10 atoms:
Si: 0.371 0.871 0.000
Si: 0.871 0.629 0.000
Si: 0.629 0.129 0.000
Si: 0.129 0.371 0.000
Al: 0.000 0.000 0.000
Al: 0.500 0.500 0.000
Ga: 0.167 0.667 0.500
Ga: 0.667 0.833 0.500
Ga: 0.833 0.333 0.500
Ga: 0.333 0.167 0.500

No. 17
DFT (PBE) results for an optimized crystal structure of AlGa2Si.

Calculated values
Raw total energy = -3.631 eV/atom
Formation energy from raw total energies = 0.7 eV per formula unit
Excess energy over the best structure of this formula in the dataset = 4 meV per atom
Magnetic moment = 0.00 μB per atom

a = 4.237 Å, b = 4.013 Å, c = 4.013 Å
α = 90.00°, β = 90.00°, γ = 90.00°
Fractional coordinates of all 4 atoms:
Si: 0.500 0.500 0.500
Al: 0.500 0.000 0.000
Ga: 0.000 0.000 0.500
Ga: 0.000 0.500 0.000

No. 18
DFT (PBE) results for an optimized crystal structure of Al2GaSi.

Calculated values
Raw total energy = -3.775 eV/atom
Formation energy from raw total energies = 0.8 eV per formula unit
Excess energy over the best structure of this formula in the dataset = 86 meV per atom
Magnetic moment = 0.00 μB per atom

a = 3.701 Å, b = 3.701 Å, c = 6.721 Å
α = 74.02°, β = 74.02°, γ = 60.00°
Fractional coordinates of all 4 atoms:
Si: 0.000 0.000 0.000
Al: 0.260 0.260 0.219
Al: 0.740 0.740 0.781
Ga: 0.500 0.500 0.500

No. 19
DFT (PBE) results for an optimized crystal structure of SrAlGa2Si.

Calculated values
Raw total energy = -3.682 eV/atom
Formation energy from raw total energies = -1.5 eV per formula unit
Magnetic moment = 0.00 μB per atom

a = 4.359 Å, b = 4.702 Å, c = 6.102 Å
α = 112.66°, β = 110.93°, γ = 90.00°
Fractional coordinates of all 5 atoms:
Sr: 0.440 0.440 0.880
Al: 0.189 0.689 0.379
Ga: 0.700 0.200 0.399
Ga: 0.063 0.063 0.125
Si: 0.820 0.820 0.640

No. 20
DFT (PBE) results for an optimized crystal structure of TaAlGa2Si.

Calculated values
Raw total energy = -4.762 eV/atom
Formation energy from raw total energies = 3.3 eV per formula unit
Magnetic moment = 0.00 μB per atom

a = 5.072 Å, b = 4.915 Å, c = 5.072 Å
α = 90.00°, β = 90.00°, γ = 90.00°
Fractional coordinates of all 5 atoms:
Si: 0.000 0.500 0.000
Al: 0.500 0.500 0.500
Ga: 0.000 0.000 0.500
Ga: 0.500 0.000 0.000
Ta: 0.000 0.000 0.000

No. 21
DFT (PBE) results for an optimized crystal structure of TaAl2GaSi.

Calculated values
Raw total energy = -4.819 eV/atom
Formation energy from raw total energies = 3.7 eV per formula unit
Magnetic moment = 0.00 μB per atom

a = 4.613 Å, b = 4.789 Å, c = 4.613 Å
α = 90.00°, β = 90.00°, γ = 90.00°
Fractional coordinates of all 5 atoms:
Si: 0.000 0.000 0.000
Al: 0.000 0.000 0.500
Al: 0.500 0.000 0.000
Ga: 0.500 0.500 0.500
Ta: 0.000 0.500 0.000

No. 22
DFT (PBE) results for an optimized crystal structure of UAlGaSi.

Calculated values
Raw total energy = -6.122 eV/atom
Formation energy from raw total energies = -1.0 eV per formula unit
Magnetic moment = 0.27 μB per atom

a = 4.037 Å, b = 4.112 Å, c = 4.363 Å
α = 90.00°, β = 90.00°, γ = 90.00°
Fractional coordinates of all 4 atoms:
U: 0.500 0.500 0.000
Al: 0.500 0.000 0.500
Ga: 0.000 0.500 0.500
Si: 0.000 0.000 0.000

No. 23
DFT (PBE) results for an optimized crystal structure of Y2AlGaSi.

Calculated values
Raw total energy = -4.739 eV/atom
Formation energy from raw total energies = 1.4 eV per formula unit
Magnetic moment = 0.00 μB per atom

a = 5.457 Å, b = 4.526 Å, c = 5.457 Å
α = 90.00°, β = 90.00°, γ = 90.00°
Fractional coordinates of all 5 atoms:
Y: 0.000 0.000 0.500
Y: 0.500 0.000 0.000
Si: 0.000 0.500 0.000
Al: 0.000 0.000 0.000
Ga: 0.500 0.500 0.500

No. 24
DFT (PBE) results for an optimized crystal structure of Al2ZnGaSi.

Calculated values
Raw total energy = -2.875 eV/atom
Formation energy from raw total energies = 2.8 eV per formula unit
Magnetic moment = 0.00 μB per atom

a = 4.779 Å, b = 4.958 Å, c = 4.779 Å
α = 90.00°, β = 90.00°, γ = 90.00°
Fractional coordinates of all 5 atoms:
Zn: 0.500 0.500 0.500
Si: 0.000 0.000 0.000
Ga: 0.000 0.500 0.000
Al: 0.000 0.000 0.500
Al: 0.500 0.000 0.000

No. 25
DFT (PBE) results for an optimized crystal structure of Sm6Al2Ga.

Calculated values
Raw total energy = -4.406 eV/atom
Energy relative to the elements = -92 meV/atom
Excess energy over the best structure of this formula in the dataset = 177 meV per atom
Magnetic moment = 0.00 μB per atom

a = 5.114 Å, b = 7.230 Å, c = 8.845 Å
α = 114.12°, β = 106.78°, γ = 90.00°
Fractional coordinates of all 9 atoms:
Sm: 0.165 0.414 0.331
Sm: 0.835 0.083 0.669
Sm: 0.835 0.586 0.669
Sm: 0.500 0.247 0.000
Sm: 0.165 0.917 0.331
Sm: 0.500 0.753 0.000
Al: 0.666 0.666 0.333
Al: 0.334 0.334 0.667
Ga: 0.000 0.000 0.000

No. 26
DFT (PBE) results for an optimized crystal structure of Sm2Al2Ga.

Calculated values
Raw total energy = -4.479 eV/atom
Energy relative to the elements = -489 meV/atom
Magnetic moment = 0.00 μB per atom

a = 3.623 Å, b = 4.433 Å, c = 7.481 Å
α = 107.23°, β = 90.00°, γ = 90.00°
Fractional coordinates of all 5 atoms:
Sm: 0.000 0.689 0.378
Sm: 0.000 0.926 0.853
Al: 0.500 0.309 0.618
Al: 0.500 0.508 0.017
Ga: 0.500 0.109 0.218

No. 27
DFT (PBE) results for an optimized crystal structure of SmAlGa2.

Calculated values
Raw total energy = -3.966 eV/atom
Energy relative to the elements = -337 meV/atom
Magnetic moment = 0.00 μB per atom

a = 3.261 Å, b = 5.435 Å, c = 5.435 Å
α = 118.17°, β = 90.00°, γ = 90.00°
Fractional coordinates of all 4 atoms:
Sm: 0.000 0.054 0.946
Al: 0.500 0.554 0.446
Ga: 0.500 0.054 0.446
Ga: 0.500 0.554 0.946

No. 28
DFT (PBE) results for an optimized crystal structure of Sm5Al2Ga2.

Calculated values
Raw total energy = -4.508 eV/atom
Energy relative to the elements = -382 meV/atom
Magnetic moment = 0.00 μB per atom

a = 7.586 Å, b = 8.171 Å, c = 8.947 Å
α = 117.17°, β = 90.00°, γ = 90.00°
Fractional coordinates of all 18 atoms:
Sm: 0.000 0.000 0.000
Sm: 0.500 0.500 0.000
Sm: 0.828 0.831 0.287
Sm: 0.172 0.456 0.287
Sm: 0.328 0.956 0.287
Sm: 0.672 0.331 0.287
Sm: 0.172 0.169 0.713
Sm: 0.828 0.544 0.713
Sm: 0.672 0.044 0.713
Sm: 0.328 0.669 0.713
Al: 0.611 0.878 0.000
Al: 0.389 0.122 0.000
Al: 0.111 0.622 0.000
Al: 0.889 0.378 0.000
Ga: 0.000 0.209 0.419
Ga: 0.500 0.709 0.419
Ga: 0.000 0.791 0.581
Ga: 0.500 0.291 0.581